## KLa2Ir (PBE)

Data for a geometry-optimized KLa2Ir structure.

Summary:
- Formation energy: 0.00 eV per atom
- ρ: 5.50 Mg/m³
- N(E_F): 1.079 states/eV/atom

Cell lengths 9.061, 9.061, 7.421 Å; angles 52.38, 52.38, 90.00 degrees
Last column: magnetic moment on the atom in μB.
Positions (direct):
K: 0.500 0.500 0.000  0.01
K: 0.250 0.750 0.500  0.01
Ir: 0.000 0.000 0.000  0.00
Ir: 0.750 0.250 0.500  0.00
La: 0.732 0.125 0.250  0.07
La: 0.018 0.625 0.250  0.07
La: 0.375 0.268 0.750  0.07
La: 0.875 0.982 0.750  0.07

***

## KLa2Ir (PBE)

Data for a geometry-optimized KLa2Ir structure.

Summary:
- Formation energy: 0.13 eV per atom
- ρ: 5.60 Mg/m³
- N(E_F): 0.573 states/eV/atom

Cell lengths 11.430, 11.430, 11.430 Å; angles 19.87, 19.87, 19.87 degrees
Positions (direct):
Ir: 0.512 0.512 0.512
K: 0.774 0.774 0.774
La: 0.992 0.992 0.992
La: 0.222 0.222 0.222

***

## KLa2Ir (PBE)

Data for a geometry-optimized KLa2Ir structure.

Summary:
- Formation energy: -0.40 eV per atom
- ρ: 4.65 Mg/m³
- N(E_F): 0.851 states/eV/atom

Cell lengths 4.267, 4.267, 11.795 Å; angles 79.58, 79.58, 60.00 degrees
Positions (direct):
K: 0.000 0.000 0.000
La: 0.876 0.876 0.372
La: 0.124 0.124 0.628
Ir: 0.500 0.500 0.500

***

## KLa2Ir (PBE)

Data for a geometry-optimized KLa2Ir structure.

Summary:
- Formation energy: 0.14 eV per atom
- ρ: 7.71 Mg/m³
- N(E_F): 1.492 states/eV/atom

Cell lengths 5.373, 5.373, 5.373 Å; angles 60.00, 60.00, 60.00 degrees
Positions (direct):
K: 0.000 0.000 0.000
Ir: 0.500 0.500 0.500
La: 0.250 0.250 0.250
La: 0.750 0.750 0.750

***

## K2La2Ir (PBE)

Data for a geometry-optimized K2La2Ir structure.

Summary:
- Formation energy: 0.00 eV per atom
- ρ: 4.33 Mg/m³
- N(E_F): 0.772 states/eV/atom

Cell lengths 7.576, 7.576, 7.325 Å; angles 90.00, 90.00, 90.00 degrees
Positions (direct):
K: 0.191 0.691 0.500
K: 0.691 0.809 0.500
K: 0.809 0.309 0.500
K: 0.309 0.191 0.500
Ir: 0.000 0.000 0.000
Ir: 0.500 0.500 0.000
La: 0.315 0.815 0.000
La: 0.815 0.685 0.000
La: 0.685 0.185 0.000
La: 0.185 0.315 0.000

***

## KLa2Ir (PBE)

Data for a geometry-optimized KLa2Ir structure.

Summary:
- Formation energy: -0.43 eV per atom
- ρ: 4.95 Mg/m³
- N(E_F): 0.882 states/eV/atom

Cell lengths 4.296, 4.296, 10.969 Å; angles 79.06, 79.06, 59.88 degrees
Positions (direct):
K: 0.250 0.250 0.250
Ir: 0.750 0.750 0.750
La: 0.039 0.039 0.887
La: 0.461 0.461 0.613

***

## KLa3Ir (PBE)

Data for a geometry-optimized KLa3Ir structure.

Summary:
- Formation energy: -0.20 eV per atom
- ρ: 5.48 Mg/m³
- N(E_F): 0.518 states/eV/atom

Cell lengths 5.812, 5.812, 5.812 Å; angles 90.00, 90.00, 90.00 degrees
Positions (direct):
K: 0.500 0.500 0.500
Ir: 0.000 0.000 0.000
La: 0.000 0.500 0.000
La: 0.000 0.000 0.500
La: 0.500 0.000 0.000

***

## KLa3Ir (PBE)

Data for a geometry-optimized KLa3Ir structure.

Summary:
- Formation energy: 1.41 eV per atom
- ρ: 7.29 Mg/m³
- N(E_F): 0.768 states/eV/atom

Cell lengths 5.285, 5.285, 5.285 Å; angles 90.00, 90.00, 90.00 degrees
Positions (direct):
K: 0.000 0.000 0.000
Ir: 0.500 0.500 0.500
La: 0.000 0.500 0.000
La: 0.000 0.000 0.500
La: 0.500 0.000 0.000